1.
A plane-wave DFT calculation with GGA-PBE was carried out for a relaxed structure of TmMgCd6. Values from VASP.

Cell and atoms, written as Quantum ESPRESSO input:
```
&SYSTEM
  ibrav = 0, nat = 8, ntyp = 3
/
ATOMIC_SPECIES
Cd 112.41 Cd.upf
Mg 24.30 Mg.upf
Tm 168.93 Tm.upf
CELL_PARAMETERS angstrom
-0.804 2.738 -3.560
2.892 -2.451 -2.539
-6.580 -5.179 -2.497
ATOMIC_POSITIONS crystal
Cd 0.000 0.500 0.742
Cd 0.000 0.500 0.258
Cd 0.500 0.000 0.258
Cd 0.500 0.500 0.500
Cd 0.500 0.000 0.742
Cd 0.500 0.500 0.000
Mg 0.000 0.000 0.500
Tm 0.000 0.000 0.000
```

Values from the calculation:
* space-group type: No. 123
* distance to the lowest polymorph of the same formula: 0.0029 eV per atom
* V: 22.74 A^3/atom
* electronic total energy: -1.596 eV/atom
* formation energy: -0.15 eV per atom

=====

2.
A plane-wave DFT calculation with GGA-PBE was carried out for a relaxed structure of Tm5MgCd4. Values from VASP.

Cell and atoms, written as Quantum ESPRESSO input:
```
&SYSTEM
  ibrav = 0, nat = 10, ntyp = 3
/
ATOMIC_SPECIES
Cd 112.41 Cd.upf
Tm 168.93 Tm.upf
Mg 24.30 Mg.upf
CELL_PARAMETERS angstrom
3.711 0.000 0.000
0.000 3.711 0.000
0.000 0.000 18.486
ATOMIC_POSITIONS crystal
Cd 0.000 0.000 0.401
Cd 0.000 0.000 0.599
Cd 0.000 0.000 0.200
Cd 0.000 0.000 0.800
Tm 0.500 0.500 0.500
Tm 0.500 0.500 0.102
Tm 0.500 0.500 0.699
Tm 0.500 0.500 0.301
Tm 0.500 0.500 0.898
Mg 0.000 0.000 0.000
```

Values from the calculation:
* space-group type: No. 123
* V: 25.46 A^3/atom
* electronic total energy: -3.022 eV/atom
* formation energy: -0.26 eV per atom

=====

3.
A plane-wave DFT calculation with GGA-PBE was carried out for a relaxed structure of Tm2MgCd. Values from VASP.

Cell and atoms, written as Quantum ESPRESSO input:
```
&SYSTEM
  ibrav = 0, nat = 4, ntyp = 3
/
ATOMIC_SPECIES
Mg 24.30 Mg.upf
Cd 112.41 Cd.upf
Tm 168.93 Tm.upf
CELL_PARAMETERS angstrom
-2.481 -1.383 -2.044
-2.440 -2.094 1.380
-6.005 8.160 1.765
ATOMIC_POSITIONS crystal
Mg 0.625 0.625 0.500
Cd 0.625 0.625 0.000
Tm 0.292 0.292 0.243
Tm 0.958 0.958 0.757
```

Values from the calculation:
* space-group type: No. 164
* V: 27.25 A^3/atom
* electronic total energy: -2.924 eV/atom
* formation energy: -0.06 eV per atom

=====

4.
A plane-wave DFT calculation with GGA-PBE was carried out for a relaxed structure of TmMg5Cd4. Values from VASP.

Cell and atoms, written as Quantum ESPRESSO input:
```
&SYSTEM
  ibrav = 0, nat = 10, ntyp = 3
/
ATOMIC_SPECIES
Cd 112.41 Cd.upf
Mg 24.30 Mg.upf
Tm 168.93 Tm.upf
CELL_PARAMETERS angstrom
4.680 0.000 -1.604
-0.523 6.307 -1.525
0.004 -0.003 7.638
ATOMIC_POSITIONS crystal
Cd 0.293 0.663 0.585
Cd 0.098 0.824 0.196
Cd 0.707 0.337 0.415
Cd 0.902 0.176 0.804
Mg 0.897 0.663 0.795
Mg 0.103 0.337 0.205
Mg 0.500 0.500 0.000
Mg 0.710 0.838 0.421
Mg 0.290 0.162 0.579
Tm 0.500 0.000 0.000
```

Values from the calculation:
* space-group type: No. 12
* V: 22.55 A^3/atom
* electronic total energy: -1.757 eV/atom
* formation energy: -0.15 eV per atom

=====

- What is the formula in the third record?
  Tm2MgCd

=====

- Which formula does entry 2 have?
  Tm5MgCd4